# CoWBr3 PBE relaxed
data_CoWBr3
_cell_length_a 5.230
_cell_length_b 5.230
_cell_length_c 5.230
_cell_angle_alpha 90.00
_cell_angle_beta 90.00
_cell_angle_gamma 90.00
_space_group_name_H-M_alt 'P m -3 m'
_space_group_IT_number 221
_space_group_name_Hall '-P 4 2 3'
loop_
_atom_site_label
_atom_site_fract_x
_atom_site_fract_y
_atom_site_fract_z
Co1 0.000 0.000 0.000
W1 0.500 0.500 0.500
Br1 0.000 0.500 0.500
# Density, Mg/m³: 5.6
# Density of states at the Fermi level, states/eV/cell: 8.8
# Total magnetization, μB/atom: 1.196
# Formation energy from raw total energies, meV per atom: 1015
# Total energy, eV/cell: -20.004
# Polymorph energy (0 for the lowest one), eV per atom: 0.000